Entry from Alexandria: La4Hg3Ru2 after structural relaxation (GGA-PBE).

Unit cell a=9.650 b=9.650 c=6.553 alpha=93.48 beta=93.48 gamma=53.26
Fractional positions:
La: 0.027 0.737 0.891
La: 0.241 0.357 0.517
La: 0.263 0.973 0.609
La: 0.357 0.241 0.017
La: 0.643 0.759 0.983
La: 0.737 0.027 0.391
La: 0.759 0.643 0.483
La: 0.973 0.263 0.109
Hg: 0.151 0.725 0.397
Hg: 0.275 0.849 0.103
Hg: 0.449 0.551 0.750
Hg: 0.551 0.449 0.250
Hg: 0.725 0.151 0.897
Hg: 0.849 0.275 0.603
Ru: 0.019 0.405 0.810
Ru: 0.405 0.019 0.310
Ru: 0.595 0.981 0.690
Ru: 0.981 0.595 0.190

Properties
For the spin magnetization, the calculation gives 0.0 μB/f.u. As for the formation enthalpy at 0 K: -0.361 eV per atom.